Entry 1:
DFT (PBE-GGA) results for crystalline La6Pr5Dy at its relaxed geometry.

- Fermi-level density of states: 40.7 states/eV/cell
- Energy of formation: 13 kJ/mol of formula units

The structure in CIF format:
```
data_La6Pr5Dy
_chemical_formula_sum 'La12 Pr10 Dy2'
_space_group_name_H-M_alt 'I m m m'
_space_group_IT_number 71
_space_group_name_Hall '-I 2 2'
_cell_length_a 5.2670
_cell_length_b 10.4283
_cell_length_c 15.7899
_cell_angle_alpha 90.00
_cell_angle_beta 90.00
_cell_angle_gamma 90.00
loop_
_atom_site_label
_atom_site_type_symbol
_atom_site_fract_x
_atom_site_fract_y
_atom_site_fract_z
_atom_site_occupancy
La1 La 0.0000 0.2481 0.0000 1
La2 La 0.0000 0.2515 0.3342 1
Pr1 Pr 0.0000 0.0000 0.1654 1
Pr2 Pr 0.0000 0.0000 0.5000 1
Pr3 Pr 0.0000 0.5000 0.1673 1
Dy1 Dy 0.0000 0.5000 0.5000 1
```


Entry 2:
DFT (PBE-GGA) results for crystalline La2Pr15Dy2 at its relaxed geometry.

- Fermi-level density of states: 97.0 states/eV/cell
- Energy of formation: 420 kJ/mol of formula units

The structure in CIF format:
```
data_La2Pr15Dy2
_chemical_formula_sum 'La6 Pr45 Dy6'
_space_group_name_H-M_alt 'R -3 m'
_space_group_IT_number 166
_space_group_name_Hall '-R 3 2"'
_cell_length_a 11.5576
_cell_length_b 11.5576
_cell_length_c 18.3110
_cell_angle_alpha 90.00
_cell_angle_beta 90.00
_cell_angle_gamma 120.00
loop_
_atom_site_label
_atom_site_type_symbol
_atom_site_fract_x
_atom_site_fract_y
_atom_site_fract_z
_atom_site_occupancy
La1 La 0.0000 0.0000 0.1794 1
Pr1 Pr 0.0000 0.2940 0.5000 1
Pr2 Pr 0.0000 0.5000 0.0000 1
Pr3 Pr 0.0150 0.5075 0.6364 1
Dy1 Dy 0.0000 0.0000 0.4073 1
```


Entry 3:
DFT (PBE-GGA) results for crystalline La2PrDy5 at its relaxed geometry.

- Fermi-level density of states: 25.4 states/eV/cell
- Energy of formation: 20 kJ/mol of formula units
- ΔE to the lowest computed polymorph: 0.000 kcal/mol of atoms

The structure in CIF format:
```
data_La2PrDy5
_chemical_formula_sum 'La4 Pr2 Dy10'
_space_group_name_H-M_alt 'P b a m'
_space_group_IT_number 55
_cell_length_a 7.2109
_cell_length_b 14.4387
_cell_length_c 5.1432
_cell_angle_alpha 90.00
_cell_angle_beta 90.00
_cell_angle_gamma 90.00
loop_
_space_group_symop_operation_xyz
'x,y,z'
'-x,-y,-z'
'-x,-y,z'
'x,y,-z'
'x+1/2,-y+1/2,-z'
'-x+1/2,y+1/2,z'
'-x+1/2,y+1/2,-z'
'x+1/2,-y+1/2,z'
loop_
_atom_site_label
_atom_site_type_symbol
_atom_site_fract_x
_atom_site_fract_y
_atom_site_fract_z
_atom_site_occupancy
La1 La 0.2456 0.1263 0.0000 1
Pr1 Pr 0.0000 0.5000 0.5000 1
Dy1 Dy 0.0000 0.0000 0.5000 1
Dy2 Dy 0.0049 0.7512 0.5000 1
Dy3 Dy 0.2462 0.3748 0.0000 1
```


Repeat the first record exactly.
DFT (PBE-GGA) results for crystalline La6Pr5Dy at its relaxed geometry.

- Fermi-level density of states: 40.7 states/eV/cell
- Energy of formation: 13 kJ/mol of formula units

The structure in CIF format:
```
data_La6Pr5Dy
_chemical_formula_sum 'La12 Pr10 Dy2'
_space_group_name_H-M_alt 'I m m m'
_space_group_IT_number 71
_space_group_name_Hall '-I 2 2'
_cell_length_a 5.2670
_cell_length_b 10.4283
_cell_length_c 15.7899
_cell_angle_alpha 90.00
_cell_angle_beta 90.00
_cell_angle_gamma 90.00
loop_
_atom_site_label
_atom_site_type_symbol
_atom_site_fract_x
_atom_site_fract_y
_atom_site_fract_z
_atom_site_occupancy
La1 La 0.0000 0.2481 0.0000 1
La2 La 0.0000 0.2515 0.3342 1
Pr1 Pr 0.0000 0.0000 0.1654 1
Pr2 Pr 0.0000 0.0000 0.5000 1
Pr3 Pr 0.0000 0.5000 0.1673 1
Dy1 Dy 0.0000 0.5000 0.5000 1
```


What is the energy of formation in the first record?
13 kJ/mol of formula units


The highest energy of formation belongs to which entry?
La2Pr15Dy2